Density functional theory data (PBE-GGA) for an optimized crystal structure of PaBiPb2O8.

Values from the calculation:
Magnetic moment   0.0 μB/cell
Final energy   -0.2428 Ha/atom
Space group   I-4m2 (119)
Formation energy without anion corrections   -1.57 eV per atom

Cell lengths 6.3470, 6.3470, 6.3470 Å; angles 109.26, 109.26, 109.90 degrees
Element x y z (fractional)
Pb1 0.5000 0.5000 0.0000
Pb2 0.7500 0.2500 0.5000
Bi1 0.2500 0.7500 0.5000
Pa1 0.0000 0.0000 0.0000
O1 0.2781 0.4582 0.1800
O2 0.3479 0.0462 0.3017
O3 0.9019 0.7219 0.1800
O4 0.5418 0.7219 0.8200
O5 0.9538 0.6521 0.6983
O6 0.9538 0.2555 0.3017
O7 0.2781 0.0981 0.8200
O8 0.7445 0.0462 0.6983